Record 1
## BaTcB (GGA-PBE)

Data for an optimized crystal structure of BaTcB.

abc: 4.478 4.478 4.478
angles: 60.00 60.00 60.00
Element x y z (fractional)
Ba  0.250  0.250  0.250
Tc  0.750  0.750  0.750
B  0.000  0.000  0.000

energy above the most stable polymorph in this dataset: 0.0000 eV/atom

=====

Record 2
## SrErNO (GGA-PBE)

Data for an optimized crystal structure of SrErNO.

abc: 3.943 5.678 6.858
angles: 90.00 90.00 90.00
Element x y z (fractional)
Sr  0.500  0.979  0.174
Sr  0.500  0.479  0.826
Er  0.000  0.985  0.659
Er  0.000  0.485  0.341
O  0.500  0.422  0.190
O  0.500  0.922  0.810
N  0.000  0.369  0.642
N  0.000  0.869  0.358

energy above the most stable polymorph in this dataset: 0.0951 eV/atom

=====

Record 3
## Cs2K2RbCuSb2 (GGA-PBE)

Data for an optimized crystal structure of Cs2K2RbCuSb2.

abc: 10.205 10.205 10.205
angles: 35.64 35.64 35.64
Element x y z (fractional)
Rb  0.500  0.500  0.500
K  0.215  0.215  0.215
K  0.785  0.785  0.785
Cu  0.000  0.000  0.000
Sb  0.089  0.089  0.089
Sb  0.911  0.911  0.911
Cs  0.639  0.639  0.639
Cs  0.361  0.361  0.361

energy above the most stable polymorph in this dataset: 0.0000 eV/atom

=====

Number 1: electronic total energy -4.843 eV per atom. Number 2: electronic total energy -6.927 eV per atom. Number 3: electronic total energy -2.465 eV per atom.